Record 1
{
  "formula": "La6CoTc2I3",
  "functional": "GGA-PBE",
  "state": "optimized geometry",
  "lattice_angstrom": [[3.685, -6.079, 0.000], [3.685, 6.079, 0.000], [-2.337, 0.000, 8.370]],
  "species": ["La", "La", "La", "La", "La", "La", "Co", "Tc", "Tc", "I", "I", "I"],
  "frac_coords": [[0.070, 0.394, 0.174], [0.253, 0.253, 0.788], [0.394, 0.070, 0.174], [0.606, 0.930, 0.826], [0.747, 0.747, 0.212], [0.930, 0.606, 0.826], [0.000, 0.000, 0.000], [0.375, 0.625, 0.000], [0.625, 0.375, 0.000], [0.177, 0.823, 0.500], [0.500, 0.500, 0.500], [0.823, 0.177, 0.500]],
  "magnetic_moment_mub_per_cell": 0.0,
  "spacegroup": "C2/m, No. 12",
  "formation_energy_uncorrected_ev_per_fu": -6.56,
  "crystal_system": "monoclinic"
}

***

Record 2
{
  "formula": "La6Co2TcI3",
  "functional": "GGA-PBE",
  "state": "optimized geometry",
  "lattice_angstrom": [[3.591, -6.220, 0.000], [3.591, 6.220, 0.000], [-2.402, 0.000, 8.289]],
  "species": ["La", "La", "La", "La", "La", "La", "Co", "Co", "Tc", "I", "I", "I"],
  "frac_coords": [[0.103, 0.439, 0.816], [0.226, 0.226, 0.184], [0.439, 0.103, 0.816], [0.561, 0.897, 0.184], [0.774, 0.774, 0.816], [0.897, 0.561, 0.184], [0.167, 0.833, 0.000], [0.833, 0.167, 0.000], [0.500, 0.500, 0.000], [0.000, 0.000, 0.500], [0.336, 0.664, 0.500], [0.664, 0.336, 0.500]],
  "magnetic_moment_mub_per_cell": 0.0,
  "spacegroup": "C2/m, No. 12",
  "formation_energy_uncorrected_ev_per_fu": -7.27,
  "crystal_system": "monoclinic"
}

***

Record 3
{
  "formula": "LaCo2TcI",
  "functional": "GGA-PBE",
  "state": "optimized geometry",
  "lattice_angstrom": [[4.799, 0.000, 0.000], [0.000, 4.799, 0.000], [0.000, 0.000, 5.043]],
  "species": ["La", "Co", "Co", "Tc", "I"],
  "frac_coords": [[0.000, 0.000, 0.000], [0.000, 0.500, 0.000], [0.500, 0.000, 0.000], [0.000, 0.000, 0.500], [0.500, 0.500, 0.500]],
  "magnetic_moment_mub_per_cell": 4.1,
  "spacegroup": "P4/mmm, No. 123",
  "formation_energy_uncorrected_ev_per_fu": 8.57,
  "crystal_system": "tetragonal"
}

***

Record 4
{
  "formula": "La4CoTeI2",
  "functional": "GGA-PBE",
  "state": "optimized geometry",
  "lattice_angstrom": [[8.118, 0.000, 0.000], [0.000, 4.212, 0.000], [-2.312, 0.000, 7.937]],
  "species": ["La", "La", "La", "La", "Co", "Te", "I", "I"],
  "frac_coords": [[0.191, 0.000, 0.185], [0.230, 0.500, 0.790], [0.770, 0.500, 0.210], [0.809, 0.000, 0.815], [0.000, 0.500, 0.000], [0.500, 0.000, 0.000], [0.000, 0.000, 0.500], [0.500, 0.500, 0.500]],
  "magnetic_moment_mub_per_cell": 0.0,
  "spacegroup": "P2/m, No. 10",
  "formation_energy_uncorrected_ev_per_fu": -7.74,
  "crystal_system": "monoclinic"
}